--- w ---
# La5Rh3 | Alexandria via LeMat-Bulk | SCAN | single point on PBEsol structure
data_La5Rh3
_chemical_formula_sum 'La10 Rh6'
_space_group_name_H-M_alt 'P 63/m c m'
_space_group_IT_number 193
_space_group_name_Hall '-P 6c 2'
_cell_length_a 8.2795
_cell_length_b 8.2795
_cell_length_c 6.8898
_cell_angle_alpha 90.00
_cell_angle_beta 90.00
_cell_angle_gamma 120.00
loop_
_atom_site_label
_atom_site_type_symbol
_atom_site_fract_x
_atom_site_fract_y
_atom_site_fract_z
_atom_site_occupancy
La1 La 0.0000 0.2519 0.2500 1
La2 La 0.3333 0.6667 0.0000 1
Rh1 Rh 0.0000 0.3840 0.7500 1
# crystal system	hexagonal


--- x ---
# La5Rh3 | Alexandria via LeMat-Bulk | SCAN | single point on PBEsol structure
data_La5Rh3
_chemical_formula_sum 'La20 Rh12'
_space_group_name_H-M_alt 'I 4/m c m'
_space_group_IT_number 140
_space_group_name_Hall '-I 4 2c'
_cell_length_a 11.218
_cell_length_b 11.218
_cell_length_c 6.234
_cell_angle_alpha 90.00
_cell_angle_beta 90.00
_cell_angle_gamma 90.00
loop_
_atom_site_label
_atom_site_type_symbol
_atom_site_fract_x
_atom_site_fract_y
_atom_site_fract_z
_atom_site_occupancy
La1 La 0.000 0.500 0.250 1
La2 La 0.088 0.211 0.000 1
Rh1 Rh 0.000 0.000 0.250 1
Rh2 Rh 0.156 0.344 0.500 1
# crystal system	tetragonal


Most stable one: w, least stable one: x.


--- w ---
# Sr2LaRh | Alexandria via LeMat-Bulk | SCAN | single point on PBEsol structure
data_Sr2LaRh
_chemical_formula_sum 'Sr4 La2 Rh2'
_space_group_name_H-M_alt 'C 1 m 1'
_space_group_IT_number 8
_cell_length_a 7.171
_cell_length_b 4.137
_cell_length_c 10.502
_cell_angle_alpha 90.00
_cell_angle_beta 103.01
_cell_angle_gamma 90.00
loop_
_space_group_symop_operation_xyz
'x,y,z'
'x,-y,z'
'x+1/2,y+1/2,z'
'x+1/2,-y+1/2,z'
loop_
_atom_site_label
_atom_site_type_symbol
_atom_site_fract_x
_atom_site_fract_y
_atom_site_fract_z
_atom_site_occupancy
Sr1 Sr 0.000 0.000 0.000 1
Sr2 Sr 0.215 0.000 0.650 1
La1 La 0.436 0.000 0.313 1
Rh1 Rh 0.227 0.500 0.183 1
# crystal system	monoclinic


--- x ---
# Sr2LaRh | Alexandria via LeMat-Bulk | SCAN | single point on PBEsol structure
data_Sr2LaRh
_chemical_formula_sum 'Sr4 La2 Rh2'
_space_group_name_H-M_alt 'A m m 2'
_space_group_IT_number 38
_cell_length_a 3.871
_cell_length_b 4.164
_cell_length_c 17.871
_cell_angle_alpha 90.00
_cell_angle_beta 90.00
_cell_angle_gamma 90.00
loop_
_space_group_symop_operation_xyz
'x,y,z'
'-x,-y,z'
'-x,y,z'
'x,-y,z'
'x,y+1/2,z+1/2'
'-x,-y+1/2,z+1/2'
'-x,y+1/2,z+1/2'
'x,-y+1/2,z+1/2'
loop_
_atom_site_label
_atom_site_type_symbol
_atom_site_fract_x
_atom_site_fract_y
_atom_site_fract_z
_atom_site_occupancy
Sr1 Sr 0.000 0.000 0.000 1
Sr2 Sr 0.500 0.000 0.320 1
La1 La 0.000 0.000 0.668 1
Rh1 Rh 0.500 0.000 0.147 1
# crystal system	orthorhombic


Most stable one: w, least stable one: x.


--- w ---
# La2TcRh | Alexandria via LeMat-Bulk | SCAN | single point on PBEsol structure
data_La2TcRh
_chemical_formula_sum 'La4 Tc2 Rh2'
_space_group_name_H-M_alt 'C 1 m 1'
_space_group_IT_number 8
_cell_length_a 10.764
_cell_length_b 3.390
_cell_length_c 4.833
_cell_angle_alpha 90.00
_cell_angle_beta 107.65
_cell_angle_gamma 90.00
loop_
_space_group_symop_operation_xyz
'x,y,z'
'x,-y,z'
'x+1/2,y+1/2,z'
'x+1/2,-y+1/2,z'
loop_
_atom_site_label
_atom_site_type_symbol
_atom_site_fract_x
_atom_site_fract_y
_atom_site_fract_z
_atom_site_occupancy
La1 La 0.000 0.000 0.000 1
La2 La 0.228 0.000 0.747 1
Tc1 Tc 0.468 0.000 0.442 1
Rh1 Rh 0.262 0.500 0.314 1
# crystal system	monoclinic


--- x ---
# La2TcRh | Alexandria via LeMat-Bulk | SCAN | single point on PBEsol structure
data_La2TcRh
_chemical_formula_sum 'La2 Tc1 Rh1'
_space_group_name_H-M_alt 'P 4/m m m'
_space_group_IT_number 123
_space_group_name_Hall '-P 4 2'
_cell_length_a 3.539
_cell_length_b 3.539
_cell_length_c 6.908
_cell_angle_alpha 90.00
_cell_angle_beta 90.00
_cell_angle_gamma 90.00
loop_
_atom_site_label
_atom_site_type_symbol
_atom_site_fract_x
_atom_site_fract_y
_atom_site_fract_z
_atom_site_occupancy
La1 La 0.000 0.000 0.249 1
Tc1 Tc 0.500 0.500 0.500 1
Rh1 Rh 0.500 0.500 0.000 1
# crystal system	tetragonal


Most stable one: x, least stable one: w.


--- w ---
# La2TlRh | Alexandria via LeMat-Bulk | SCAN | single point on PBEsol structure
data_La2TlRh
_chemical_formula_sum 'La4 Tl2 Rh2'
_space_group_name_H-M_alt 'A m m 2'
_space_group_IT_number 38
_cell_length_a 4.019
_cell_length_b 4.773
_cell_length_c 11.218
_cell_angle_alpha 90.00
_cell_angle_beta 90.00
_cell_angle_gamma 90.00
loop_
_space_group_symop_operation_xyz
'x,y,z'
'-x,-y,z'
'-x,y,z'
'x,-y,z'
'x,y+1/2,z+1/2'
'-x,-y+1/2,z+1/2'
'-x,y+1/2,z+1/2'
'x,-y+1/2,z+1/2'
loop_
_atom_site_label
_atom_site_type_symbol
_atom_site_fract_x
_atom_site_fract_y
_atom_site_fract_z
_atom_site_occupancy
La1 La 0.000 0.000 0.000 1
La2 La 0.500 0.000 0.302 1
Tl1 Tl 0.500 0.000 0.596 1
Rh1 Rh 0.000 0.000 0.775 1
# crystal system	orthorhombic


--- x ---
# La2TlRh | Alexandria via LeMat-Bulk | SCAN | single point on PBEsol structure
data_La2TlRh
_chemical_formula_sum 'La2 Tl1 Rh1'
_space_group_name_H-M_alt 'P 4/m m m'
_space_group_IT_number 123
_space_group_name_Hall '-P 4 2'
_cell_length_a 3.521
_cell_length_b 3.521
_cell_length_c 8.306
_cell_angle_alpha 90.00
_cell_angle_beta 90.00
_cell_angle_gamma 90.00
loop_
_atom_site_label
_atom_site_type_symbol
_atom_site_fract_x
_atom_site_fract_y
_atom_site_fract_z
_atom_site_occupancy
La1 La 0.000 0.000 0.208 1
Tl1 Tl 0.500 0.500 0.500 1
Rh1 Rh 0.500 0.500 0.000 1
# crystal system	tetragonal


Most stable one: x, least stable one: w.